# 1
Density functional theory data (PBE-GGA) for GaSnPb2Au6 after structural relaxation.

Cell: 5.6663 9.1511 9.2087 Å, 90.00 90.00 90.00°
Last column: nearest neighbours and their distance in Å.
Sites, in units of the cell vectors:
Ga (0.2500, 0.2500, 0.2490)  6 Au 2.55-2.66
Ga (0.7500, 0.7500, 0.7510)  6 Au 2.55-2.66
Sn (0.2500, 0.7500, 0.2688)  6 Au 2.72-2.89
Sn (0.7500, 0.2500, 0.7312)  6 Au 2.72-2.89
Pb (0.2500, 0.5038, 0.7186)  7 Au 3.24-3.58
Pb (0.2500, 0.9962, 0.7186)  7 Au 3.24-3.58
Pb (0.7500, 0.0038, 0.2814)  7 Au 3.24-3.58
Pb (0.7500, 0.4962, 0.2814)  7 Au 3.24-3.58
Au (0.0014, 0.7500, 0.9952)  1 Ga 2.66, 6 Au 2.82-2.89, 1 Sn 2.89
Au (0.0037, 0.2500, 0.4806)  1 Ga 2.55, 1 Sn 2.72, 1 Au 2.79
Au (0.2500, 0.0013, 0.1071)  1 Ga 2.62, 1 Sn 2.74, 4 Au 2.85-2.89
Au (0.2500, 0.4987, 0.1071)  1 Ga 2.62, 1 Sn 2.74, 4 Au 2.85-2.89
Au (0.4963, 0.2500, 0.4806)  1 Ga 2.55, 1 Sn 2.72, 1 Au 2.79
Au (0.4986, 0.7500, 0.9952)  1 Ga 2.66, 6 Au 2.82-2.89, 1 Sn 2.89
Au (0.5014, 0.2500, 0.0048)  1 Ga 2.66, 6 Au 2.82-2.89, 1 Sn 2.89
Au (0.5037, 0.7500, 0.5194)  1 Ga 2.55, 1 Sn 2.72, 1 Au 2.79
Au (0.7500, 0.5013, 0.8929)  1 Ga 2.62, 1 Sn 2.74, 4 Au 2.85-2.89
Au (0.7500, 0.9987, 0.8929)  1 Ga 2.62, 1 Sn 2.74, 4 Au 2.85-2.89
Au (0.9963, 0.7500, 0.5194)  1 Ga 2.55, 1 Sn 2.72, 1 Au 2.79
Au (0.9986, 0.2500, 0.0048)  1 Ga 2.66, 6 Au 2.82-2.89, 1 Sn 2.89

Symmetry: Pmmn (59)
E, eV/atom: -3.480
Density of states at the Fermi level, states/eV per cell: 8.35
ρ, g/cm3: 12.41

---

# 2
Density functional theory data (PBE-GGA) for CaInRu after structural relaxation.

Cell: 6.7172 6.7172 6.7172 Å, 90.00 90.00 90.00°
Last column: nearest neighbours and their distance in Å.
Sites, in units of the cell vectors:
Ca (0.0000, 0.0000, 0.0000)  4 In 2.91, 4 Ru 2.91
Ca (0.0000, 0.5000, 0.5000)  4 In 2.91, 4 Ru 2.91
Ca (0.5000, 0.0000, 0.5000)  4 In 2.91, 4 Ru 2.91
Ca (0.5000, 0.5000, 0.0000)  4 In 2.91, 4 Ru 2.91
In (0.2500, 0.2500, 0.2500)  4 Ca 2.91
In (0.2500, 0.7500, 0.7500)  4 Ca 2.91
In (0.7500, 0.2500, 0.7500)  4 Ca 2.91
In (0.7500, 0.7500, 0.2500)  4 Ca 2.91
Ru (0.2500, 0.2500, 0.7500)  4 Ca 2.91
Ru (0.2500, 0.7500, 0.2500)  4 Ca 2.91
Ru (0.7500, 0.2500, 0.2500)  4 Ca 2.91
Ru (0.7500, 0.7500, 0.7500)  4 Ca 2.91

Symmetry: F-43m (216)
E, eV/atom: -3.759
Density of states at the Fermi level, states/eV per cell: 29.03
ρ, g/cm3: 5.61

---

# 3
Density functional theory data (PBE-GGA) for K2LaIr after structural relaxation.

Cell: 7.7321 7.7321 7.7321 Å, 90.00 90.00 90.00°
Last column: nearest neighbours and their distance in Å.
Sites, in units of the cell vectors:
K (0.2500, 0.2500, 0.2500)  4 La 3.35, 4 Ir 3.35
K (0.2500, 0.2500, 0.7500)  4 Ir 3.35, 4 La 3.35
K (0.2500, 0.7500, 0.2500)  4 Ir 3.35, 4 La 3.35
K (0.2500, 0.7500, 0.7500)  4 La 3.35, 4 Ir 3.35
K (0.7500, 0.2500, 0.2500)  4 Ir 3.35, 4 La 3.35
K (0.7500, 0.2500, 0.7500)  4 La 3.35, 4 Ir 3.35
K (0.7500, 0.7500, 0.2500)  4 La 3.35, 4 Ir 3.35
K (0.7500, 0.7500, 0.7500)  4 Ir 3.35, 4 La 3.35
La (0.0000, 0.0000, 0.0000)  8 K 3.35
La (0.0000, 0.5000, 0.5000)  8 K 3.35
La (0.5000, 0.0000, 0.5000)  8 K 3.35
La (0.5000, 0.5000, 0.0000)  8 K 3.35
Ir (0.0000, 0.0000, 0.5000)  8 K 3.35
Ir (0.0000, 0.5000, 0.0000)  8 K 3.35
Ir (0.5000, 0.0000, 0.0000)  8 K 3.35
Ir (0.5000, 0.5000, 0.5000)  8 K 3.35

Symmetry: Fm-3m (225)
Density of states at the Fermi level, states/eV per cell: 20.32
Energy above the most stable polymorph in this dataset, eV per atom: 1.0245
ρ, g/cm3: 5.88